Entry 1:
# Na5B8C2

A geometry-optimized Na5B8C2 structure (PBE-GGA, Alexandria via LeMat-Bulk).

Lattice parameters (Å, degrees): 7.7567 7.7567 10.4315 121.97 121.97 38.31
Element x y z (fractional)
Na 0.0015 0.0006 0.2522
Na 0.1961 0.2018 0.7488
Na 0.2003 0.2003 0.2523
Na 0.3975 0.4045 0.2536
Na 0.3988 0.3981 0.7475
Na 0.5955 0.6025 0.7464
Na 0.6019 0.6012 0.2525
Na 0.7982 0.8039 0.2512
Na 0.7997 0.7997 0.7477
Na 0.9994 0.9985 0.7478
B 0.0193 0.3858 0.0008
B 0.0477 0.3613 0.4995
B 0.1618 0.8382 0.0000
B 0.2195 0.5791 0.5001
B 0.2407 0.5561 0.0006
B 0.3529 0.0376 0.9994
B 0.4209 0.7805 0.4999
B 0.4439 0.7593 0.9994
B 0.5610 0.2375 0.5008
B 0.5904 0.2276 0.9998
B 0.6142 0.9807 0.9992
B 0.6387 0.9523 0.5005
B 0.7625 0.4390 0.4992
B 0.7724 0.4096 0.0002
B 0.8532 0.1468 0.5000
B 0.9624 0.6471 0.0006
C 0.1614 0.8386 0.5000
C 0.3646 0.0352 0.5001
C 0.8452 0.1548 0.0000
C 0.9648 0.6354 0.4999

D(E_F): 8.027 states/eV per cell
Energy relative to the elements: 0.21 eV/atom
Energy above the most stable polymorph in this dataset: 39.3 meV per atom
Electronic total energy: -75.318 eV/f.u.

Entry 2:
# Na3B5C

A geometry-optimized Na3B5C structure (PBE-GGA, Alexandria via LeMat-Bulk).

Lattice parameters (Å, degrees): 8.1226 8.1226 10.1738 121.05 121.05 20.00
Element x y z (fractional)
Na 0.0000 0.0000 0.0000
Na 0.1669 0.1669 0.5001
Na 0.3332 0.3332 0.9977
Na 0.5000 0.5000 0.5000
Na 0.6668 0.6668 0.0023
Na 0.8331 0.8331 0.4999
B 0.1266 0.1266 0.7494
B 0.1994 0.1994 0.2498
B 0.3043 0.3043 0.2509
B 0.3698 0.3698 0.7511
B 0.4785 0.4785 0.7500
B 0.5215 0.5215 0.2500
B 0.6302 0.6302 0.2489
B 0.6957 0.6957 0.7491
B 0.8006 0.8006 0.7502
B 0.8734 0.8734 0.2506
C 0.0294 0.0294 0.7493
C 0.9706 0.9706 0.2507

D(E_F): 2.236 states/eV per cell
Energy relative to the elements: 0.19 eV/atom
Energy above the most stable polymorph in this dataset: 0.0 meV per atom
Electronic total energy: -44.844 eV/f.u.

Entry 3:
# Na2B3C

A geometry-optimized Na2B3C structure (PBE-GGA, Alexandria via LeMat-Bulk).

Lattice parameters (Å, degrees): 4.9047 8.6923 7.6434 90.00 104.26 90.00
Element x y z (fractional)
Na 0.0000 0.2397 0.0000
Na 0.0000 0.7603 0.0000
Na 0.1840 0.2509 0.3931
Na 0.1840 0.7491 0.3931
Na 0.3922 0.2496 0.7979
Na 0.3922 0.7504 0.7979
Na 0.5920 0.2479 0.1943
Na 0.5920 0.7521 0.1943
Na 0.7853 0.2423 0.5941
Na 0.7853 0.7577 0.5941
B 0.0377 0.5000 0.8203
B 0.0992 0.5000 0.5819
B 0.1019 0.0000 0.8148
B 0.1203 0.0000 0.5700
B 0.2306 0.0000 0.1861
B 0.3287 0.5000 0.0027
B 0.4703 0.0000 0.6205
B 0.4843 0.0000 0.3860
B 0.5280 0.5000 0.3940
B 0.6622 0.0000 0.0069
B 0.6726 0.5000 0.7625
B 0.7099 0.5000 0.9968
B 0.7461 0.0000 0.7971
B 0.8401 0.0000 0.3855
B 0.9565 0.5000 0.2068
C 0.2871 0.5000 0.2079
C 0.3308 0.0000 0.9977
C 0.4336 0.5000 0.5873
C 0.8605 0.5000 0.3979
C 0.9035 0.0000 0.1884

D(E_F): 2.649 states/eV per cell
Energy relative to the elements: 0.16 eV/atom
Energy above the most stable polymorph in this dataset: 31.5 meV per atom
Electronic total energy: -30.905 eV/f.u.

Entry 4:
# Na5B8C2

A geometry-optimized Na5B8C2 structure (PBE-GGA, Alexandria via LeMat-Bulk).

Lattice parameters (Å, degrees): 13.3090 13.3090 8.6636 90.00 90.00 167.88
Element x y z (fractional)
Na 0.0000 0.0000 0.0000
Na 0.0000 0.0000 0.5000
Na 0.2007 0.7993 0.5015
Na 0.2007 0.7993 0.9985
Na 0.3985 0.6015 0.5019
Na 0.3985 0.6015 0.9981
Na 0.6015 0.3985 0.0019
Na 0.6015 0.3985 0.4981
Na 0.7993 0.2007 0.0015
Na 0.7993 0.2007 0.4985
B 0.0723 0.9277 0.2500
B 0.0755 0.9245 0.7500
B 0.1383 0.8617 0.2500
B 0.2690 0.7310 0.2500
B 0.2710 0.7290 0.7500
B 0.3346 0.6654 0.2500
B 0.4671 0.5329 0.2500
B 0.4698 0.5302 0.7500
B 0.5302 0.4698 0.2500
B 0.5329 0.4671 0.7500
B 0.6654 0.3346 0.7500
B 0.7290 0.2710 0.2500
B 0.7310 0.2690 0.7500
B 0.8617 0.1383 0.7500
B 0.9245 0.0755 0.2500
B 0.9277 0.0723 0.7500
C 0.1339 0.8661 0.7500
C 0.3310 0.6690 0.7500
C 0.6690 0.3310 0.2500
C 0.8661 0.1339 0.2500

D(E_F): 6.954 states/eV per cell
Energy relative to the elements: 0.19 eV/atom
Energy above the most stable polymorph in this dataset: 15.5 meV per atom
Electronic total energy: -75.675 eV/f.u.

Entry 5:
# Na4B5C3

A geometry-optimized Na4B5C3 structure (PBE-GGA, Alexandria via LeMat-Bulk).

Lattice parameters (Å, degrees): 9.0005 9.0005 9.0005 162.00 37.47 147.41
Element x y z (fractional)
Na 0.1259 0.0000 0.1259
Na 0.3714 0.9983 0.3731
Na 0.6252 0.9983 0.6269
Na 0.8741 0.0000 0.8741
B 0.0798 0.3298 0.7500
B 0.1771 0.6771 0.5000
B 0.5798 0.3298 0.2500
B 0.6369 0.6369 0.0000
B 0.8448 0.3448 0.5000
C 0.3329 0.3329 0.0000
C 0.4141 0.6642 0.7499
C 0.9143 0.6642 0.2501

D(E_F): 1.729 states/eV per cell
Energy relative to the elements: 0.08 eV/atom
Energy above the most stable polymorph in this dataset: 20.6 meV per atom
Electronic total energy: -65.360 eV/f.u.

Entry 6:
# Na5B6C4

A geometry-optimized Na5B6C4 structure (PBE-GGA, Alexandria via LeMat-Bulk).

Lattice parameters (Å, degrees): 11.3924 11.3924 9.8494 107.83 107.83 14.29
Element x y z (fractional)
Na 0.0000 0.0000 0.0000
Na 0.0995 0.0995 0.6980
Na 0.2007 0.2007 0.3983
Na 0.2997 0.2997 0.1024
Na 0.4002 0.4002 0.8009
Na 0.5000 0.5000 0.5000
Na 0.5998 0.5998 0.1991
Na 0.7003 0.7003 0.8976
Na 0.7993 0.7993 0.6017
Na 0.9005 0.9005 0.3020
B 0.0161 0.0161 0.2827
B 0.1776 0.1776 0.1058
B 0.2107 0.2107 0.6707
B 0.2825 0.2825 0.8132
B 0.3869 0.3869 0.5237
B 0.4188 0.4188 0.0885
B 0.5812 0.5812 0.9115
B 0.6131 0.6131 0.4763
B 0.7175 0.7175 0.1868
B 0.7893 0.7893 0.3293
B 0.8224 0.8224 0.8942
B 0.9839 0.9839 0.7173
C 0.0811 0.0811 0.4140
C 0.1134 0.1134 0.9762
C 0.3209 0.3209 0.3925
C 0.4841 0.4841 0.2185
C 0.5159 0.5159 0.7815
C 0.6791 0.6791 0.6075
C 0.8866 0.8866 0.0238
C 0.9189 0.9189 0.5860

D(E_F): 3.937 states/eV per cell
Energy relative to the elements: 0.06 eV/atom
Energy above the most stable polymorph in this dataset: 4.0 meV per atom
Electronic total energy: -82.718 eV/f.u.

What did the sixth record say?
# Na5B6C4

A geometry-optimized Na5B6C4 structure (PBE-GGA, Alexandria via LeMat-Bulk).

Lattice parameters (Å, degrees): 11.3924 11.3924 9.8494 107.83 107.83 14.29
Element x y z (fractional)
Na 0.0000 0.0000 0.0000
Na 0.0995 0.0995 0.6980
Na 0.2007 0.2007 0.3983
Na 0.2997 0.2997 0.1024
Na 0.4002 0.4002 0.8009
Na 0.5000 0.5000 0.5000
Na 0.5998 0.5998 0.1991
Na 0.7003 0.7003 0.8976
Na 0.7993 0.7993 0.6017
Na 0.9005 0.9005 0.3020
B 0.0161 0.0161 0.2827
B 0.1776 0.1776 0.1058
B 0.2107 0.2107 0.6707
B 0.2825 0.2825 0.8132
B 0.3869 0.3869 0.5237
B 0.4188 0.4188 0.0885
B 0.5812 0.5812 0.9115
B 0.6131 0.6131 0.4763
B 0.7175 0.7175 0.1868
B 0.7893 0.7893 0.3293
B 0.8224 0.8224 0.8942
B 0.9839 0.9839 0.7173
C 0.0811 0.0811 0.4140
C 0.1134 0.1134 0.9762
C 0.3209 0.3209 0.3925
C 0.4841 0.4841 0.2185
C 0.5159 0.5159 0.7815
C 0.6791 0.6791 0.6075
C 0.8866 0.8866 0.0238
C 0.9189 0.9189 0.5860

D(E_F): 3.937 states/eV per cell
Energy relative to the elements: 0.06 eV/atom
Energy above the most stable polymorph in this dataset: 4.0 meV per atom
Electronic total energy: -82.718 eV/f.u.